No. 1
NaN2Cl after structural relaxation. Source: Alexandria, functional GGA-PBE.

Density of states at the Fermi level: 0.5 states/eV/f.u.
Distance to the lowest polymorph of the same formula: 247.8 kJ/mol of atoms
ΔE_f (raw): 1.73 eV/atom

abc: 5.097 5.097 9.428
angles: 90.00 90.00 90.00
Space group I-42d (No. 122)
One atom of each set of equivalent atoms:
1 Na 0.000 0.000 0.000
2 N 0.153 0.250 0.625
3 Cl 0.000 0.000 0.500


No. 2
Pm5PdPt4 after structural relaxation. Source: Alexandria, functional GGA-PBE.

Calculated formation energy: -10.2 eV per formula unit
Density of states at the Fermi level: 7.6 states/eV/f.u.

abc: 3.566 3.566 18.152
angles: 90.00 90.00 90.00
Space group P4/mmm (No. 123)
One atom of each set of equivalent atoms:
1 Pm 0.000 0.000 0.000
2 Pm 0.000 0.000 0.199
3 Pm 0.000 0.000 0.398
4 Pd 0.500 0.500 0.500
5 Pt 0.500 0.500 0.100
6 Pt 0.500 0.500 0.300


no.,total magnetic moment (μB per formula unit),DFT total energy (eV/atom)
1,0.0,-3.225
2,0.0,-6.331